1.
First-principles (SCAN) data for a PBEsol-optimized structure of CePrFe4, as listed in the Alexandria database.

a b c (Å): 7.179 7.179 7.179
angles (deg): 90.00 90.00 90.00
Space group F-43m (No. 216)
One atom of each set of equivalent atoms:
Ce  0.000  0.000  0.000 [4 per cell]
Pr  0.250  0.250  0.250 [4 per cell]
Fe  0.126  0.126  0.626 [16 per cell]

Summary:
energy	-26.62	eV/atom
ΔH_f (0 K)	64.1	kJ/mol of formula units
DOS(E_F)	1.04	states/eV per atom
total moment	7.1	μB per formula unit



2.
First-principles (SCAN) data for a PBEsol-optimized structure of Ce2FeRu3, as listed in the Alexandria database.

a b c (Å): 5.4434 5.4434 11.6671
angles (deg): 90.00 90.00 120.00
Space group R-3m (No. 166, hexagonal axes)
One atom of each set of equivalent atoms:
Ce  0.0000  0.0000  0.1274 [6 per cell]
Fe  0.0000  0.0000  0.5000 [3 per cell]
Ru  0.0000  0.5000  0.0000 [9 per cell]

Summary:
energy	-35.60	eV/atom
ΔH_f (0 K)	-179.7	kJ/mol of formula units
DOS(E_F)	1.17	states/eV per atom
total moment	2.3	μB per formula unit



3.
First-principles (SCAN) data for a PBEsol-optimized structure of CeFe4Sb12, as listed in the Alexandria database.

a b c (Å): 9.014 9.014 9.014
angles (deg): 90.00 90.00 90.00
Space group Im-3 (No. 204)
One atom of each set of equivalent atoms:
Ce  0.000  0.000  0.000 [2 per cell]
Fe  0.250  0.250  0.250 [8 per cell]
Sb  0.000  0.334  0.163 [24 per cell]

Summary:
energy	-33.38	eV/atom
DOS(E_F)	0.22	states/eV per atom
formation energy (no corrections)	-190	meV per atom
total moment	0.0	μB per formula unit



4.
First-principles (SCAN) data for a PBEsol-optimized structure of CeGa3, as listed in the Alexandria database.

a b c (Å): 6.3082 6.3082 4.4654
angles (deg): 90.00 90.00 120.00
Space group P6_3/mmc (No. 194)
One atom of each set of equivalent atoms:
Ce  0.3333  0.6667  0.2500 [2 per cell]
Ga  0.1463  0.2926  0.7500 [6 per cell]

Summary:
energy	-24.03	eV/atom
ΔH_f (0 K)	-244.3	kJ/mol of formula units
DOS(E_F)	0.73	states/eV per atom
total moment	0.7	μB per formula unit



5.
First-principles (SCAN) data for a PBEsol-optimized structure of Ce5Ga3, as listed in the Alexandria database.

a b c (Å): 11.669 11.669 5.551
angles (deg): 90.00 90.00 90.00
Space group I4/mcm (No. 140)
One atom of each set of equivalent atoms:
Ce  0.000  0.500  0.250 [4 per cell]
Ce  0.093  0.230  0.000 [16 per cell]
Ga  0.000  0.000  0.250 [4 per cell]
Ga  0.159  0.341  0.500 [8 per cell]

Summary:
energy	-34.43	eV/atom
ΔH_f (0 K)	-344.2	kJ/mol of formula units
DOS(E_F)	1.90	states/eV per atom
total moment	5.8	μB per formula unit



6.
First-principles (SCAN) data for a PBEsol-optimized structure of Ce3Ga2, as listed in the Alexandria database.

a b c (Å): 8.245 8.245 6.848
angles (deg): 90.00 90.00 90.00
Space group P4_2/mnm (No. 136)
One atom of each set of equivalent atoms:
Ce  0.000  0.500  0.250 [4 per cell]
Ce  0.163  0.163  0.000 [4 per cell]
Ce  0.199  0.199  0.500 [4 per cell]
Ga  0.115  0.885  0.296 [8 per cell]

Summary:
energy	-33.69	eV/atom
ΔH_f (0 K)	-198.9	kJ/mol of formula units
DOS(E_F)	1.74	states/eV per atom
total moment	2.9	μB per formula unit



7.
First-principles (SCAN) data for a PBEsol-optimized structure of CeGa2, as listed in the Alexandria database.

a b c (Å): 4.2148 4.2148 4.1066
angles (deg): 90.00 90.00 120.00
Space group P6/mmm (No. 191)
One atom of each set of equivalent atoms:
Ce  0.0000  0.0000  0.0000 [1 per cell]
Ga  0.3333  0.6667  0.5000 [2 per cell]

Summary:
energy	-26.47	eV/atom
ΔH_f (0 K)	-207.9	kJ/mol of formula units
DOS(E_F)	1.42	states/eV per atom
total moment	0.9	μB per formula unit



8.
First-principles (SCAN) data for a PBEsol-optimized structure of CeGa, as listed in the Alexandria database.

a b c (Å): 9.037 7.300 5.201
angles (deg): 90.00 90.00 90.00
Space group Cmcm (No. 63)
One atom of each set of equivalent atoms:
Ce  0.193  0.181  0.250 [8 per cell]
Ga  0.000  0.166  0.750 [4 per cell]
Ga  0.000  0.500  0.000 [4 per cell]

Summary:
energy	-31.03	eV/atom
ΔH_f (0 K)	-111.2	kJ/mol of formula units
DOS(E_F)	1.33	states/eV per atom
total moment	1.0	μB per formula unit



9.
First-principles (SCAN) data for a PBEsol-optimized structure of Ce2Ga9Ir3, as listed in the Alexandria database.

a b c (Å): 13.079 7.583 9.325
angles (deg): 90.00 90.00 90.00
Space group Cmcm (No. 63)
One atom of each set of equivalent atoms:
Ce  0.165  0.166  0.250 [8 per cell]
Ga  0.000  0.130  0.750 [4 per cell]
Ga  0.000  0.334  0.066 [8 per cell]
Ga  0.103  0.443  0.750 [8 per cell]
Ga  0.166  0.168  0.580 [16 per cell]
Ir  0.000  0.000  0.000 [4 per cell]
Ir  0.172  0.500  0.000 [8 per cell]

Summary:
energy	-32.90	eV/atom
ΔH_f (0 K)	-1062.3	kJ/mol of formula units
DOS(E_F)	0.44	states/eV per atom
total moment	0.7	μB per formula unit



10.
First-principles (SCAN) data for a PBEsol-optimized structure of CeGaIr, as listed in the Alexandria database.

a b c (Å): 6.751 4.303 7.813
angles (deg): 90.00 90.00 90.00
Space group Pnma (No. 62)
One atom of each set of equivalent atoms:
Ce  0.031  0.250  0.190 [4 per cell]
Ga  0.150  0.250  0.568 [4 per cell]
Ir  0.241  0.750  0.390 [4 per cell]

Summary:
energy	-44.99	eV/atom
ΔH_f (0 K)	-284.7	kJ/mol of formula units
DOS(E_F)	0.73	states/eV per atom
total moment	0.0	μB per formula unit



11.
First-principles (SCAN) data for a PBEsol-optimized structure of Li2CeGa, as listed in the Alexandria database.

a b c (Å): 6.638 6.638 6.638
angles (deg): 90.00 90.00 90.00
Space group Fm-3m (No. 225)
One atom of each set of equivalent atoms:
Li  0.250  0.250  0.250 [8 per cell]
Ce  0.000  0.000  0.000 [4 per cell]
Ga  0.000  0.000  0.500 [4 per cell]

Summary:
energy	-16.63	eV/atom
ΔH_f (0 K)	-79.1	kJ/mol of formula units
DOS(E_F)	1.39	states/eV per atom
total moment	1.0	μB per formula unit



12.
First-principles (SCAN) data for a PBEsol-optimized structure of CeMgGa, as listed in the Alexandria database.

a b c (Å): 7.2917 7.2917 4.4851
angles (deg): 90.00 90.00 120.00
Space group P-62m (No. 189)
One atom of each set of equivalent atoms:
Ce  0.0000  0.4245  0.0000 [3 per cell]
Mg  0.0000  0.7578  0.5000 [3 per cell]
Ga  0.0000  0.0000  0.0000 [1 per cell]
Ga  0.3333  0.6667  0.5000 [2 per cell]

Summary:
energy	-22.40	eV/atom
ΔH_f (0 K)	-127.5	kJ/mol of formula units
DOS(E_F)	1.09	states/eV per atom
total moment	1.0	μB per formula unit